Computed, not measured: LiFeAu2 after structural relaxation at the PBE-GGA level of DFT.

a = 2.764 Å, b = 4.211 Å, c = 5.412 Å
α = 90.00°, β = 90.00°, γ = 90.00°
Fractional coordinates of all 4 atoms:
Li 0.000 0.000 0.000
Fe 0.500 0.500 0.699
Au 0.000 0.000 0.516
Au 0.500 0.500 0.186

Results
E_form (eV per atom): -0.07
Magnetization (μB per formula unit): 2.98
Electronic total energy (eV for the cell shown): -17.23
N(E_F) (states/eV/cell): 2.57